[1]
Here is an optimized crystal structure of TlCd2Co from Alexandria via LeMat-Bulk. Energies are from PBE-GGA.

Summary:
Total magnetization: 1.276 μB/cell
Relative energy among the computed polymorphs: 0.281 eV per atom
Crystal system: cubic
SG: No. 225

Cell lengths 4.8710, 4.8710, 4.8710 Å; angles 60.00, 60.00, 60.00 degrees
Sites, in units of the cell vectors:
Tl 0.5000 0.5000 0.5000
Co 0.0000 0.0000 0.0000
Cd 0.2500 0.2500 0.2500
Cd 0.7500 0.7500 0.7500


[2]
Here is an optimized crystal structure of TlCd2CoW from Alexandria via LeMat-Bulk. Energies are from PBE-GGA.

Summary:
Total magnetization: 1.881 μB/cell
Relative energy among the computed polymorphs: 0.000 eV per atom
Crystal system: tetragonal
SG: No. 123

Cell lengths 5.0017, 4.5053, 5.0017 Å; angles 90.00, 90.00, 90.00 degrees
Sites, in units of the cell vectors:
Tl 0.5000 0.5000 0.5000
Co 0.0000 0.0000 0.0000
W 0.0000 0.5000 0.0000
Cd 0.0000 0.0000 0.5000
Cd 0.5000 0.0000 0.0000